The following is a PBE calculation of a relaxed TlAgICl6 crystal, from Alexandria.

**Fermi-level density of states**: 2.1 states/eV/f.u.
**ΔE_f (raw)**: -404 meV/atom
**DFT total energy**: -2.387 eV per atom
**Magnetization**: 0.111 μB per atom
**Crystal system**: monoclinic
**Theoretical density**: 3.2 Mg/m³

```
data_TlAgICl6
_chemical_formula_sum 'Tl2 Ag2 I2 Cl12'
_space_group_name_H-M_alt 'C 1 2 1'
_space_group_IT_number 5
_cell_length_a 8.9180
_cell_length_b 11.4615
_cell_length_c 6.6909
_cell_angle_alpha 90.00
_cell_angle_beta 102.15
_cell_angle_gamma 90.00
loop_
_space_group_symop_operation_xyz
'x,y,z'
'-x,y,-z'
'x+1/2,y+1/2,z'
'-x+1/2,y+1/2,-z'
loop_
_atom_site_label
_atom_site_fract_x
_atom_site_fract_y
_atom_site_fract_z
Tl1 0.0000 0.0000 0.0000
Ag1 0.0000 0.6967 0.5000
I1 0.0000 0.3574 0.5000
Cl1 0.1354 0.8398 0.7358
Cl2 0.1407 0.5333 0.7204
Cl3 0.1561 0.2136 0.7216
```